VASP calculation (GGA-PBE) on a relaxed structure of Pm2Mg12Au7.

POSCAR file:
```
Pm2Mg12Au7
1.0
-1.852 2.948 2.327
1.012 -6.492 9.030
8.122 7.192 -2.645
Au Mg Pm
7 12 2
direct
0.248 0.423 0.134
0.752 0.577 0.866
0.500 0.000 0.000
0.248 0.711 0.577
0.248 0.866 0.289
0.752 0.289 0.423
0.752 0.134 0.711
0.749 0.386 0.953
0.248 0.738 0.847
0.251 0.433 0.386
0.752 0.262 0.153
0.251 0.614 0.047
0.248 0.153 0.891
0.749 0.567 0.614
0.752 0.847 0.109
0.752 0.891 0.738
0.248 0.109 0.262
0.251 0.953 0.567
0.749 0.047 0.433
0.249 0.333 0.667
0.751 0.667 0.333
```

Output
For the density of states at the Fermi level, the calculation gives 0.49 states/eV per atom. The total DFT energy (no corrections) is -3.01 eV per atom. Its symmetry is No. 147.

VASP calculation (GGA-PBE) on a relaxed structure of DyPuRu.

POSCAR file:
```
DyPuRu
1.0
3.352 0.000 0.000
0.000 3.352 0.000
-1.676 -1.676 6.268
Ru Dy Pu
1 1 1
direct
0.667 0.667 0.335
0.031 0.031 0.061
0.302 0.302 0.604
```

Output
For the density of states at the Fermi level, the calculation gives 2.54 states/eV per atom. Its symmetry is No. 107. Its distance to the lowest polymorph of the same formula is 0.052 eV per atom.